(1)
PmHo3Ir2 | PBE | optimized geometry

The structure belongs to space group Ibam (No. 72); the cell edges are 6.817, 13.656 and 7.008 Å and the angles 90.00°, 90.00° and 90.00°. Symmetry generates all atoms from Pm at (0.000, 0.000, 0.000), Ho at (0.000, 0.238, 0.250), Ho at (0.000, 0.500, 0.250) and Ir at (0.211, 0.361, 0.000).

The value obtained for the density is 10.428 g/cm3. The volume is 27.184 Å³/atom. The energy of formation is -14.373 kcal/mol of atoms.



(2)
PmHoIr2 | PBE | optimized geometry

The structure belongs to space group P4/mmm (No. 123); the cell edges are 4.800, 4.800 and 3.617 Å and the angles 90.00°, 90.00° and 90.00°. Symmetry generates all atoms from Pm at (0.000, 0.000, 0.000), Ho at (0.500, 0.500, 0.000) and Ir at (0.000, 0.500, 0.500).

The value obtained for the density is 13.838 g/cm3. The volume is 20.831 Å³/atom. The energy of formation is -16.353 kcal/mol of atoms.



Which of these has the lowest energy of formation? PmHoIr2